Entry from Alexandria: crystalline Li5Ti6FeO16 at its relaxed geometry (PBE with a Hubbard U).

a = 5.9506 Å, b = 5.9686 Å, c = 8.4528 Å
α = 90.00°, β = 90.39°, γ = 90.00°
Last column: nearest neighbours and their distance in Å.
Space group Pm (No. 6)
Symmetry-distinct sites (fractional):
Li 0.0000 0.0000 0.0000  4 O 1.99-2.03
Li 0.0344 0.5000 0.2590  4 O 2.01-2.08
Li 0.2747 0.5000 0.8779  6 O 2.06-2.14
Li 0.5042 0.5000 0.4958  4 O 1.99-2.07
Li 0.7590 0.0000 0.3797  6 O 2.10-2.13
Ti 0.0167 0.2587 0.6250  6 O 1.89-2.09
Ti 0.2559 0.0000 0.3682  5 O 1.94-1.97
Ti 0.5171 0.2515 0.1367  6 O 1.88-2.10
Ti 0.7908 0.5000 0.8853  3 O 1.86-1.98
Fe 0.5274 0.0000 0.7628  4 O 1.89-1.99
O 0.0273 0.2261 0.4021  2 Ti 1.89-1.94, 2 Li 2.03-2.10
O 0.2267 0.5000 0.6302  2 Ti 1.91, 2 Li 2.01-2.11
O 0.2535 0.0000 0.6266  1 Fe 1.99, 3 Ti 2.09-2.18
O 0.2791 0.0000 0.1399  3 Ti 1.94-2.06, 1 Li 2.03
O 0.3084 0.5000 0.1207  2 Ti 1.94, 2 Li 2.01-2.06
O 0.4929 0.2293 0.3582  2 Ti 1.88-1.97, 2 Li 1.99-2.10
O 0.5294 0.2620 0.8889  1 Fe 1.89, 1 Li 2.08, 2 Ti 2.10-2.11
O 0.7230 0.0000 0.1295  2 Ti 1.94, 2 Li 1.99-2.12
O 0.7474 0.5000 0.1168  3 Ti 1.98-2.03, 1 Li 2.08
O 0.7884 0.5000 0.6376  3 Ti 1.98-2.09, 1 Li 2.07
O 0.7888 0.0000 0.6311  1 Fe 1.92, 2 Ti 2.06, 1 Li 2.13
O 0.9989 0.2708 0.8598  2 Ti 1.86-1.99, 1 Li 2.00

Excess energy over the best structure of this formula in the dataset = 0.959 eV/f.u.